Record 1
Compound: LiAlGe
Source: Alexandria via LeMat-Bulk
Functional: PBE
Structure: relaxed

Summary:
SG = No. 2
total energy = -3.51 eV per atom
density = 3.54 g/cm³
ΔE_f = -26 kJ/mol of formula units
D(E_F) = 0.339 states/eV/atom

a b c (Å): 3.8734 5.0115 6.0341
angles (deg): 110.76 90.36 112.26
With the nearest neighbours (Å) after each atom.
Element x y z (fractional)
Li1 0.1667 0.3317 0.3295  5 Ge 2.77-2.91, 2 Li 2.81-2.82, 5 Al 2.81-3.05
Li2 0.8333 0.6683 0.6705  5 Ge 2.77-2.91, 2 Li 2.81-2.82, 5 Al 2.81-3.05
Al1 0.1613 0.3245 0.8332  5 Ge 2.78-2.90, 2 Al 2.81-2.82, 5 Li 2.81-3.05
Al2 0.8387 0.6755 0.1668  5 Ge 2.78-2.90, 2 Al 2.81-2.82, 5 Li 2.81-3.05
Ge1 0.5000 0.0000 0.0000  4 Li 2.77-2.78, 6 Al 2.85-2.90, 2 Ge 3.02
Ge2 0.5000 0.0000 0.5000  4 Al 2.78, 6 Li 2.86-2.91, 2 Ge 3.02

---

Record 2
Compound: KZn2In10
Source: Alexandria via LeMat-Bulk
Functional: PBE
Structure: relaxed

Summary:
SG = No. 69
total energy = -2.39 eV per atom
density = 6.27 g/cm³
ΔE_f = -7 kJ/mol of formula units
D(E_F) = 0.207 states/eV/atom

a b c (Å): 10.7246 8.2077 8.1303
angles (deg): 82.05 49.29 48.66
With the nearest neighbours (Å) after each atom.
Element x y z (fractional)
K1 0.0000 0.0000 0.0000  16 In 3.80-4.07, 4 Zn 4.10
Zn1 0.0000 0.5000 0.0000  8 In 3.00-3.17, 2 Zn 3.04
Zn2 0.5000 0.0000 0.5000  8 In 3.00-3.17, 2 Zn 3.04
In1 0.0000 0.0000 0.5000  10 In 3.04-3.39
In2 0.0116 0.3543 0.6457  6 In 3.13-3.39, 2 Zn 3.17
In3 0.2829 0.4887 0.5113  2 Zn 3.00, 4 In 3.10-3.26
In4 0.3543 0.0116 0.9884  6 In 3.13-3.39, 2 Zn 3.17
In5 0.4887 0.2829 0.7171  2 Zn 3.00, 4 In 3.10-3.26
In6 0.5000 0.5000 0.0000  10 In 3.04-3.39
In7 0.5113 0.7171 0.2829  2 Zn 3.00, 4 In 3.10-3.26
In8 0.6457 0.9884 0.0116  6 In 3.13-3.39, 2 Zn 3.17
In9 0.7171 0.5113 0.4887  2 Zn 3.00, 4 In 3.10-3.26
In10 0.9884 0.6457 0.3543  6 In 3.13-3.39, 2 Zn 3.17

---

Repeat the second record exactly.
Compound: KZn2In10
Source: Alexandria via LeMat-Bulk
Functional: PBE
Structure: relaxed

Summary:
SG = No. 69
total energy = -2.39 eV per atom
density = 6.27 g/cm³
ΔE_f = -7 kJ/mol of formula units
D(E_F) = 0.207 states/eV/atom

a b c (Å): 10.7246 8.2077 8.1303
angles (deg): 82.05 49.29 48.66
With the nearest neighbours (Å) after each atom.
Element x y z (fractional)
K1 0.0000 0.0000 0.0000  16 In 3.80-4.07, 4 Zn 4.10
Zn1 0.0000 0.5000 0.0000  8 In 3.00-3.17, 2 Zn 3.04
Zn2 0.5000 0.0000 0.5000  8 In 3.00-3.17, 2 Zn 3.04
In1 0.0000 0.0000 0.5000  10 In 3.04-3.39
In2 0.0116 0.3543 0.6457  6 In 3.13-3.39, 2 Zn 3.17
In3 0.2829 0.4887 0.5113  2 Zn 3.00, 4 In 3.10-3.26
In4 0.3543 0.0116 0.9884  6 In 3.13-3.39, 2 Zn 3.17
In5 0.4887 0.2829 0.7171  2 Zn 3.00, 4 In 3.10-3.26
In6 0.5000 0.5000 0.0000  10 In 3.04-3.39
In7 0.5113 0.7171 0.2829  2 Zn 3.00, 4 In 3.10-3.26
In8 0.6457 0.9884 0.0116  6 In 3.13-3.39, 2 Zn 3.17
In9 0.7171 0.5113 0.4887  2 Zn 3.00, 4 In 3.10-3.26
In10 0.9884 0.6457 0.3543  6 In 3.13-3.39, 2 Zn 3.17

---

Q: Among the records above, which one has the lowest density?
A: LiAlGe

---

Q: ΔE_f of number 2 (KZn2In10)?
A: -7 kJ/mol of formula units